Arrangement one

First-principles (SCAN) data for a PBEsol-optimized structure of MgInTe, as listed in Alexandria via LeMat-Bulk.

## Properties
Magnetic moment = 0.00 μB/f.u.
ρ = 4757 kg/m3

Geometry as CIF:
```
data_MgInTe
_space_group_name_H-M_alt 'P 1'
_space_group_IT_number 1
_cell_length_a 5.088
_cell_length_b 5.088
_cell_length_c 5.088
_cell_angle_alpha 60.00
_cell_angle_beta 60.00
_cell_angle_gamma 60.00
loop_
_space_group_symop_operation_xyz
'x,y,z'
loop_
_atom_site_label
_atom_site_fract_x
_atom_site_fract_y
_atom_site_fract_z
_atom_site_occupancy
In1 0.250 0.250 0.250 1
Mg1 0.000 0.000 0.000 1
Te1 0.500 0.500 0.500 1
```

=====

Arrangement two

First-principles (SCAN) data for a PBEsol-optimized structure of MgInTe, as listed in Alexandria via LeMat-Bulk.

## Properties
Magnetic moment = 0.00 μB/f.u.
ρ = 5762 kg/m3

Geometry as CIF:
```
data_MgInTe
_space_group_name_H-M_alt 'P 1'
_space_group_IT_number 1
_cell_length_a 3.846
_cell_length_b 3.846
_cell_length_c 5.865
_cell_angle_alpha 109.14
_cell_angle_beta 109.14
_cell_angle_gamma 90.00
loop_
_space_group_symop_operation_xyz
'x,y,z'
loop_
_atom_site_label
_atom_site_fract_x
_atom_site_fract_y
_atom_site_fract_z
_atom_site_occupancy
Te1 0.686 0.686 0.373 1
Mg1 0.314 0.314 0.629 1
In1 0.999 0.999 0.998 1
```

=====

Energies in kJ/mol of atoms, measured from the most stable structure: arrangement one 23.2; arrangement two 0.0.

=====

Arrangement one

First-principles (SCAN) data for a PBEsol-optimized structure of Mn2InSb, as listed in Alexandria via LeMat-Bulk.

## Properties
Magnetic moment = 7.02 μB/f.u.
ρ = 8350 kg/m3

Geometry as CIF:
```
data_Mn2InSb
_space_group_name_H-M_alt 'P 1'
_space_group_IT_number 1
_cell_length_a 4.087
_cell_length_b 4.492
_cell_length_c 4.827
_cell_angle_alpha 117.73
_cell_angle_beta 115.05
_cell_angle_gamma 90.00
loop_
_space_group_symop_operation_xyz
'x,y,z'
loop_
_atom_site_label
_atom_site_fract_x
_atom_site_fract_y
_atom_site_fract_z
_atom_site_occupancy
Sb1 0.500 0.000 0.000 1
Mn1 0.753 0.753 0.506 1
In1 0.000 0.500 0.000 1
Mn2 0.247 0.247 0.494 1
```

=====

Arrangement two

First-principles (SCAN) data for a PBEsol-optimized structure of Mn2InSb, as listed in Alexandria via LeMat-Bulk.

## Properties
Magnetic moment = 0.00 μB/f.u.
ρ = 7960 kg/m3

Geometry as CIF:
```
data_Mn2InSb
_space_group_name_H-M_alt 'P 1'
_space_group_IT_number 1
_cell_length_a 3.693
_cell_length_b 3.693
_cell_length_c 6.480
_cell_angle_alpha 73.44
_cell_angle_beta 73.44
_cell_angle_gamma 60.00
loop_
_space_group_symop_operation_xyz
'x,y,z'
loop_
_atom_site_label
_atom_site_fract_x
_atom_site_fract_y
_atom_site_fract_z
_atom_site_occupancy
Sb1 0.473 0.473 0.582 1
Mn1 0.720 0.720 0.840 1
Mn2 0.034 0.034 0.896 1
In1 0.273 0.273 0.181 1
```

=====

Energies in kJ/mol of atoms, measured from the most stable structure: arrangement one 0.0; arrangement two 23.3.

=====

Arrangement one

First-principles (SCAN) data for a PBEsol-optimized structure of MnTl2In, as listed in Alexandria via LeMat-Bulk.

## Properties
Magnetic moment = 4.54 μB/f.u.
ρ = 10061 kg/m3

Geometry as CIF:
```
data_MnTl2In
_space_group_name_H-M_alt 'P 1'
_space_group_IT_number 1
_cell_length_a 5.130
_cell_length_b 5.130
_cell_length_c 5.130
_cell_angle_alpha 60.00
_cell_angle_beta 60.00
_cell_angle_gamma 60.00
loop_
_space_group_symop_operation_xyz
'x,y,z'
loop_
_atom_site_label
_atom_site_fract_x
_atom_site_fract_y
_atom_site_fract_z
_atom_site_occupancy
Mn1 0.250 0.250 0.250 1
Tl1 0.000 0.000 0.000 1
In1 0.500 0.500 0.500 1
Tl2 0.750 0.750 0.750 1
```

=====

Arrangement two

First-principles (SCAN) data for a PBEsol-optimized structure of MnTl2In, as listed in Alexandria via LeMat-Bulk.

## Properties
Magnetic moment = 3.92 μB/f.u.
ρ = 10576 kg/m3

Geometry as CIF:
```
data_MnTl2In
_space_group_name_H-M_alt 'P 1'
_space_group_IT_number 1
_cell_length_a 3.175
_cell_length_b 3.175
_cell_length_c 9.009
_cell_angle_alpha 90.00
_cell_angle_beta 90.00
_cell_angle_gamma 90.00
loop_
_space_group_symop_operation_xyz
'x,y,z'
loop_
_atom_site_label
_atom_site_fract_x
_atom_site_fract_y
_atom_site_fract_z
_atom_site_occupancy
Tl1 0.000 0.000 0.950 1
Tl2 0.500 0.500 0.257 1
Mn1 0.500 0.500 0.741 1
In1 0.000 0.000 0.551 1
```

=====

Arrangement three

First-principles (SCAN) data for a PBEsol-optimized structure of MnTl2In, as listed in Alexandria via LeMat-Bulk.

## Properties
Magnetic moment = 4.22 μB/f.u.
ρ = 10571 kg/m3

Geometry as CIF:
```
data_MnTl2In
_space_group_name_H-M_alt 'P 1'
_space_group_IT_number 1
_cell_length_a 4.373
_cell_length_b 4.373
_cell_length_c 5.669
_cell_angle_alpha 112.69
_cell_angle_beta 112.69
_cell_angle_gamma 90.00
loop_
_space_group_symop_operation_xyz
'x,y,z'
loop_
_atom_site_label
_atom_site_fract_x
_atom_site_fract_y
_atom_site_fract_z
_atom_site_occupancy
Tl1 0.000 0.000 0.000 1
Mn1 0.250 0.750 0.500 1
In1 0.500 0.500 0.000 1
Tl2 0.750 0.250 0.500 1
```

=====

Energies in kJ/mol of atoms, measured from the most stable structure: arrangement one 15.7; arrangement two 0.0; arrangement three 9.5.

=====

Arrangement one

First-principles (SCAN) data for a PBEsol-optimized structure of MnTlIn, as listed in Alexandria via LeMat-Bulk.

## Properties
Magnetic moment = 4.17 μB/f.u.
ρ = 9517 kg/m3

Geometry as CIF:
```
data_MnTlIn
_space_group_name_H-M_alt 'P 1'
_space_group_IT_number 1
_cell_length_a 3.460
_cell_length_b 4.667
_cell_length_c 4.667
_cell_angle_alpha 120.00
_cell_angle_beta 90.00
_cell_angle_gamma 90.00
loop_
_space_group_symop_operation_xyz
'x,y,z'
loop_
_atom_site_label
_atom_site_fract_x
_atom_site_fract_y
_atom_site_fract_z
_atom_site_occupancy
In1 0.964 0.000 0.000 1
Tl1 0.374 0.667 0.333 1
Mn1 0.662 0.333 0.667 1
```

=====

Arrangement two

First-principles (SCAN) data for a PBEsol-optimized structure of MnTlIn, as listed in Alexandria via LeMat-Bulk.

## Properties
Magnetic moment = 3.94 μB/f.u.
ρ = 9874 kg/m3

Geometry as CIF:
```
data_MnTlIn
_space_group_name_H-M_alt 'P 1'
_space_group_IT_number 1
_cell_length_a 3.227
_cell_length_b 3.227
_cell_length_c 6.977
_cell_angle_alpha 90.00
_cell_angle_beta 90.00
_cell_angle_gamma 120.00
loop_
_space_group_symop_operation_xyz
'x,y,z'
loop_
_atom_site_label
_atom_site_fract_x
_atom_site_fract_y
_atom_site_fract_z
_atom_site_occupancy
Mn1 0.333 0.667 0.672 1
In1 0.000 0.000 0.972 1
Tl1 0.667 0.333 0.356 1
```

=====

Energies in kJ/mol of atoms, measured from the most stable structure: arrangement one 0.9; arrangement two 0.0.

=====

Arrangement one

First-principles (SCAN) data for a PBEsol-optimized structure of In2MoOs, as listed in Alexandria via LeMat-Bulk.

## Properties
Magnetic moment = 0.00 μB/f.u.
ρ = 12350 kg/m3

Geometry as CIF:
```
data_In2MoOs
_space_group_name_H-M_alt 'P 1'
_space_group_IT_number 1
_cell_length_a 2.946
_cell_length_b 4.541
_cell_length_c 5.213
_cell_angle_alpha 90.00
_cell_angle_beta 96.08
_cell_angle_gamma 90.00
loop_
_space_group_symop_operation_xyz
'x,y,z'
loop_
_atom_site_label
_atom_site_fract_x
_atom_site_fract_y
_atom_site_fract_z
_atom_site_occupancy
Os1 0.000 0.500 0.500 1
Mo1 0.500 0.500 0.000 1
In1 0.786 0.000 0.747 1
In2 0.214 0.000 0.253 1
```

=====

Arrangement two

First-principles (SCAN) data for a PBEsol-optimized structure of In2MoOs, as listed in Alexandria via LeMat-Bulk.

## Properties
Magnetic moment = 0.00 μB/f.u.
ρ = 12435 kg/m3

Geometry as CIF:
```
data_In2MoOs
_space_group_name_H-M_alt 'P 1'
_space_group_IT_number 1
_cell_length_a 2.962
_cell_length_b 2.962
_cell_length_c 9.227
_cell_angle_alpha 80.76
_cell_angle_beta 80.76
_cell_angle_gamma 60.00
loop_
_space_group_symop_operation_xyz
'x,y,z'
loop_
_atom_site_label
_atom_site_fract_x
_atom_site_fract_y
_atom_site_fract_z
_atom_site_occupancy
In1 0.748 0.748 0.757 1
In2 0.252 0.252 0.243 1
Os1 0.000 0.000 0.000 1
Mo1 0.500 0.500 0.500 1
```

=====

Energies in kJ/mol of atoms, measured from the most stable structure: arrangement one 3.4; arrangement two 0.0.

=====

Arrangement one

First-principles (SCAN) data for a PBEsol-optimized structure of InMo2P, as listed in Alexandria via LeMat-Bulk.

## Properties
Magnetic moment = 0.00 μB/f.u.
ρ = 8736 kg/m3

Geometry as CIF:
```
data_InMo2P
_space_group_name_H-M_alt 'P 1'
_space_group_IT_number 1
_cell_length_a 3.093
_cell_length_b 3.453
_cell_length_c 6.096
_cell_angle_alpha 90.00
_cell_angle_beta 99.63
_cell_angle_gamma 90.00
loop_
_space_group_symop_operation_xyz
'x,y,z'
loop_
_atom_site_label
_atom_site_fract_x
_atom_site_fract_y
_atom_site_fract_z
_atom_site_occupancy
In1 0.500 0.500 0.500 1
Mo1 0.870 0.000 0.203 1
P1 0.500 0.500 0.000 1
Mo2 0.130 0.000 0.797 1
```

=====

Arrangement two

First-principles (SCAN) data for a PBEsol-optimized structure of InMo2P, as listed in Alexandria via LeMat-Bulk.

## Properties
Magnetic moment = 0.00 μB/f.u.
ρ = 8270 kg/m3

Geometry as CIF:
```
data_InMo2P
_space_group_name_H-M_alt 'P 1'
_space_group_IT_number 1
_cell_length_a 3.126
_cell_length_b 3.367
_cell_length_c 6.839
_cell_angle_alpha 104.25
_cell_angle_beta 103.21
_cell_angle_gamma 90.00
loop_
_space_group_symop_operation_xyz
'x,y,z'
loop_
_atom_site_label
_atom_site_fract_x
_atom_site_fract_y
_atom_site_fract_z
_atom_site_occupancy
Mo1 0.017 0.017 0.034 1
Mo2 0.327 0.827 0.655 1
In1 0.700 0.200 0.399 1
P1 0.456 0.456 0.913 1
```

=====

Energies in kJ/mol of atoms, measured from the most stable structure: arrangement one 6.5; arrangement two 0.0.